! GGA-PBE Ga2Pd4Pt, optimized geometry; values from VASP
! Final energy ... -5.03 eV/atom
! Size of the total moment ... 0.0 μB/f.u.
! Energy relative to the elements ... -32 kJ/mol of atoms
! V ... 16.567 A^3/atom
&SYSTEM
  ibrav = 0, nat = 14, ntyp = 3
/
ATOMIC_SPECIES
Pt 195.08 Pt.upf
Pd 106.42 Pd.upf
Ga 69.72 Ga.upf
ATOMIC_POSITIONS angstrom
Pt 0.000 0.000 0.000
Pt -3.470 -3.703 -0.984
Pd -5.528 -5.475 -0.679
Pd -3.882 -5.151 3.660
Pd -3.085 -5.939 0.643
Pd -4.558 -3.479 1.496
Pd 0.960 -4.285 3.039
Pd -0.513 -1.824 3.891
Pd 0.284 -2.613 0.874
Pd 1.930 -2.289 5.213
Ga -5.345 -6.196 1.725
Ga 1.747 -1.568 2.810
Ga -0.941 -4.737 1.453
Ga -2.657 -3.027 3.081
CELL_PARAMETERS angstrom
-6.532 -4.461 3.112
-0.408 -2.946 -5.080
3.342 -0.357 6.502